Entry 1:
Density functional theory data (GGA-PBE) for crystalline LiTb4Tl2 at its relaxed geometry.

Unit cell a=5.287 b=5.287 c=8.860 alpha=72.64 beta=72.64 gamma=60.00
Each line ends with the local moment (μB).
Fractional coordinates of all 7 atoms:
Li: 0.000 0.000 0.000  0.01
Tb: 0.868 0.868 0.397  0.24
Tb: 0.132 0.132 0.603  0.24
Tb: 0.613 0.613 0.162  0.07
Tb: 0.387 0.387 0.838  0.07
Tl: 0.740 0.740 0.779  -0.01
Tl: 0.260 0.260 0.221  -0.01

Properties
DFT total energy: -26.177 eV for the cell shown
ΔE to the lowest computed polymorph: 0.00 eV per formula unit
Formation energy: -144 meV per atom

Entry 2:
Density functional theory data (GGA-PBE) for crystalline Li3Tb2Tl4 at its relaxed geometry.

Unit cell a=4.965 b=5.261 c=9.438 alpha=79.64 beta=90.01 gamma=61.84
Fractional coordinates of all 9 atoms:
Li: 0.382 0.237 0.414
Li: 0.000 0.000 0.000
Li: 0.618 0.763 0.586
Tb: 0.290 0.420 0.759
Tb: 0.710 0.580 0.241
Tl: 0.641 0.718 0.896
Tl: 0.074 0.853 0.373
Tl: 0.926 0.147 0.627
Tl: 0.359 0.282 0.104

Properties
DFT total energy: -26.826 eV for the cell shown
ΔE to the lowest computed polymorph: 0.00 eV per formula unit
Formation energy: -262 meV per atom

Entry 3:
Density functional theory data (GGA-PBE) for crystalline LiTb4Tl7 at its relaxed geometry.

Unit cell a=5.345 b=9.726 c=7.612 alpha=80.00 beta=69.45 gamma=74.05
Fractional coordinates of all 12 atoms:
Li: 0.000 0.000 0.000
Tb: 0.579 0.218 0.624
Tb: 0.421 0.782 0.376
Tb: 0.717 0.667 0.898
Tb: 0.283 0.333 0.102
Tl: 0.778 0.894 0.551
Tl: 0.222 0.106 0.449
Tl: 0.080 0.688 0.153
Tl: 0.920 0.312 0.847
Tl: 0.368 0.548 0.716
Tl: 0.500 0.000 0.000
Tl: 0.632 0.452 0.284

Properties
DFT total energy: -38.770 eV for the cell shown
Formation energy: -148 meV per atom

Entry 4:
Density functional theory data (GGA-PBE) for crystalline LiTb4Tl3 at its relaxed geometry.

Unit cell a=3.780 b=4.864 c=12.104 alpha=90.00 beta=90.00 gamma=90.00
Fractional coordinates of all 8 atoms:
Li: 0.500 0.500 0.067
Tb: 0.500 0.500 0.339
Tb: 0.000 0.500 0.847
Tb: 0.000 0.000 0.156
Tb: 0.500 0.000 0.659
Tl: 0.000 0.500 0.585
Tl: 0.000 0.000 0.417
Tl: 0.500 0.000 0.930

Properties
DFT total energy: -29.280 eV for the cell shown
ΔE to the lowest computed polymorph: 0.54 eV per formula unit
Formation energy: -218 meV per atom

Entry 5:
Density functional theory data (GGA-PBE) for crystalline LiTb3Tl4 at its relaxed geometry.

Unit cell a=5.249 b=5.249 c=9.355 alpha=73.71 beta=73.71 gamma=60.00
Fractional coordinates of all 8 atoms:
Tl: 0.877 0.877 0.369
Tl: 0.373 0.373 0.881
Tl: 0.123 0.123 0.631
Tl: 0.627 0.627 0.119
Tb: 0.255 0.255 0.236
Tb: 0.745 0.745 0.764
Tb: 0.500 0.500 0.500
Li: 0.000 0.000 0.000

Properties
DFT total energy: -27.945 eV for the cell shown
Formation energy: -334 meV per atom

Entry 6:
Density functional theory data (GGA-PBE) for crystalline Li2TbTl3 at its relaxed geometry.

Unit cell a=5.096 b=5.096 c=12.664 alpha=90.00 beta=90.00 gamma=120.00
Fractional coordinates of all 12 atoms:
Li: 0.000 0.000 0.500
Li: 0.333 0.667 0.166
Li: 0.667 0.333 0.834
Li: 0.000 0.000 0.000
Tb: 0.333 0.667 0.667
Tb: 0.667 0.333 0.333
Tl: 0.333 0.667 0.417
Tl: 0.667 0.333 0.074
Tl: 0.000 0.000 0.766
Tl: 0.000 0.000 0.234
Tl: 0.333 0.667 0.926
Tl: 0.667 0.333 0.583

Properties
DFT total energy: -34.467 eV for the cell shown
ΔE to the lowest computed polymorph: 0.00 eV per formula unit
Formation energy: -279 meV per atom

Entry 7:
Density functional theory data (GGA-PBE) for crystalline Li2Tb5Tl5 at its relaxed geometry.

Unit cell a=5.285 b=5.536 c=13.473 alpha=110.80 beta=90.00 gamma=118.51
Fractional coordinates of all 12 atoms:
Li: 0.005 0.010 0.800
Li: 0.995 0.990 0.200
Tb: 0.500 0.000 0.500
Tb: 0.670 0.340 0.018
Tb: 0.729 0.459 0.308
Tb: 0.271 0.541 0.692
Tb: 0.330 0.660 0.982
Tl: 0.128 0.256 0.423
Tl: 0.653 0.307 0.778
Tl: 0.347 0.693 0.222
Tl: 0.872 0.744 0.577
Tl: 0.000 0.000 0.000

Properties
DFT total energy: -41.185 eV for the cell shown
Formation energy: -198 meV per atom

Entry 8:
Density functional theory data (GGA-PBE) for crystalline Li2TbTl3 at its relaxed geometry.

Unit cell a=4.959 b=4.959 c=13.501 alpha=90.00 beta=90.00 gamma=120.00
Fractional coordinates of all 12 atoms:
Li: 0.667 0.333 0.403
Li: 0.333 0.667 0.597
Li: 0.333 0.667 0.903
Li: 0.667 0.333 0.097
Tb: 0.000 0.000 0.250
Tb: 0.000 0.000 0.750
Tl: 0.000 0.000 0.500
Tl: 0.000 0.000 0.000
Tl: 0.667 0.333 0.634
Tl: 0.333 0.667 0.134
Tl: 0.667 0.333 0.866
Tl: 0.333 0.667 0.366

Properties
DFT total energy: -33.727 eV for the cell shown
ΔE to the lowest computed polymorph: 0.37 eV per formula unit
Formation energy: -218 meV per atom

Entry 9:
Density functional theory data (GGA-PBE) for crystalline LiTb8Tl6 at its relaxed geometry.

Unit cell a=9.097 b=9.097 c=8.303 alpha=56.78 beta=56.78 gamma=60.00
Fractional coordinates of all 15 atoms:
Li: 0.000 0.000 0.000
Tb: 0.570 0.214 0.327
Tb: 0.786 0.111 0.673
Tb: 0.111 0.430 0.673
Tb: 0.666 0.666 0.001
Tb: 0.334 0.334 0.999
Tb: 0.889 0.570 0.327
Tb: 0.214 0.889 0.327
Tb: 0.430 0.786 0.673
Tl: 0.392 0.059 0.819
Tl: 0.941 0.270 0.181
Tl: 0.270 0.608 0.181
Tl: 0.730 0.392 0.819
Tl: 0.059 0.730 0.819
Tl: 0.608 0.941 0.181

Properties
DFT total energy: -55.067 eV for the cell shown
Formation energy: -128 meV per atom

Entry 10:
Density functional theory data (GGA-PBE) for crystalline LiTb8Tl2 at its relaxed geometry.

Unit cell a=5.271 b=6.945 c=9.340 alpha=99.01 beta=106.39 gamma=90.00
Fractional coordinates of all 11 atoms:
Li: 0.500 0.000 0.000
Tb: 0.409 0.551 0.818
Tb: 0.658 0.944 0.315
Tb: 0.816 0.729 0.632
Tb: 0.973 0.246 0.946
Tb: 0.184 0.271 0.368
Tb: 0.342 0.056 0.685
Tb: 0.591 0.449 0.182
Tb: 0.027 0.754 0.054
Tl: 0.796 0.275 0.591
Tl: 0.204 0.725 0.409

Properties
DFT total energy: -44.544 eV for the cell shown
Formation energy: -78 meV per atom

Entry 11:
Density functional theory data (GGA-PBE) for crystalline Li2Tb8Tl at its relaxed geometry.

Unit cell a=5.304 b=7.191 c=9.204 alpha=108.25 beta=106.74 gamma=90.00
Fractional coordinates of all 11 atoms:
Li: 0.818 0.309 0.636
Li: 0.182 0.691 0.364
Tb: 0.406 0.530 0.811
Tb: 0.677 0.984 0.354
Tb: 0.810 0.704 0.619
Tb: 0.971 0.232 0.941
Tb: 0.190 0.296 0.381
Tb: 0.323 0.016 0.646
Tb: 0.594 0.470 0.189
Tb: 0.029 0.768 0.059
Tl: 0.500 0.000 0.000

Properties
DFT total energy: -42.922 eV for the cell shown
Formation energy: 29 meV per atom

Entry 12:
Density functional theory data (GGA-PBE) for crystalline Li2Tb2Tl at its relaxed geometry.

Unit cell a=5.995 b=5.995 c=5.999 alpha=49.98 beta=49.98 gamma=50.09
Fractional coordinates of all 5 atoms:
Li: 0.412 0.412 0.414
Li: 0.588 0.588 0.586
Tb: 0.777 0.777 0.778
Tb: 0.223 0.223 0.222
Tl: 0.000 0.000 0.000

Properties
DFT total energy: -15.784 eV for the cell shown
ΔE to the lowest computed polymorph: 0.08 eV per formula unit
Formation energy: -66 meV per atom

The highest formation energy belongs to which entry?
Li2Tb8Tl

What did the ninth record say?
Density functional theory data (GGA-PBE) for crystalline LiTb8Tl6 at its relaxed geometry.

Unit cell a=9.097 b=9.097 c=8.303 alpha=56.78 beta=56.78 gamma=60.00
Fractional coordinates of all 15 atoms:
Li: 0.000 0.000 0.000
Tb: 0.570 0.214 0.327
Tb: 0.786 0.111 0.673
Tb: 0.111 0.430 0.673
Tb: 0.666 0.666 0.001
Tb: 0.334 0.334 0.999
Tb: 0.889 0.570 0.327
Tb: 0.214 0.889 0.327
Tb: 0.430 0.786 0.673
Tl: 0.392 0.059 0.819
Tl: 0.941 0.270 0.181
Tl: 0.270 0.608 0.181
Tl: 0.730 0.392 0.819
Tl: 0.059 0.730 0.819
Tl: 0.608 0.941 0.181

Properties
DFT total energy: -55.067 eV for the cell shown
Formation energy: -128 meV per atom

Repeat the sixth record exactly.
Density functional theory data (GGA-PBE) for crystalline Li2TbTl3 at its relaxed geometry.

Unit cell a=5.096 b=5.096 c=12.664 alpha=90.00 beta=90.00 gamma=120.00
Fractional coordinates of all 12 atoms:
Li: 0.000 0.000 0.500
Li: 0.333 0.667 0.166
Li: 0.667 0.333 0.834
Li: 0.000 0.000 0.000
Tb: 0.333 0.667 0.667
Tb: 0.667 0.333 0.333
Tl: 0.333 0.667 0.417
Tl: 0.667 0.333 0.074
Tl: 0.000 0.000 0.766
Tl: 0.000 0.000 0.234
Tl: 0.333 0.667 0.926
Tl: 0.667 0.333 0.583

Properties
DFT total energy: -34.467 eV for the cell shown
ΔE to the lowest computed polymorph: 0.00 eV per formula unit
Formation energy: -279 meV per atom